[1]
This record from Alexandria describes a relaxed structure of Tb3ZnCd2. The functional is PBE-GGA.

a b c (Å): 5.239 5.239 12.857
angles (deg): 90.00 90.00 120.00
Last column: magnetic moment on the atom in μB.
Sites, in units of the cell vectors:
Cd  0.000  0.000  0.500  0.01
Cd  0.333  0.667  0.166  0.01
Cd  0.000  0.000  0.000  0.01
Cd  0.667  0.333  0.834  0.01
Tb  0.667  0.333  0.584  0.07
Tb  0.333  0.667  0.910  0.07
Tb  0.667  0.333  0.090  0.07
Tb  0.333  0.667  0.416  0.07
Tb  0.000  0.000  0.744  0.08
Tb  0.000  0.000  0.256  0.08
Zn  0.333  0.667  0.664  0.01
Zn  0.667  0.333  0.336  0.01

Properties
Mass density, g cm⁻³: 8.3
Energy relative to the lowest polymorph listed for this composition, meV/atom: 13.3
Symmetry: P-3m1, No. 164
DFT formation energy, meV per atom: -311

[2]
This record from Alexandria describes a relaxed structure of LiErCuSn. The functional is PBE-GGA.

a b c (Å): 4.692 4.692 4.692
angles (deg): 60.00 60.00 60.00
Sites, in units of the cell vectors:
Cu  0.250  0.250  0.250
Er  0.500  0.500  0.500
Li  0.750  0.750  0.750
Sn  0.000  0.000  0.000

Properties
Mass density, g cm⁻³: 8.1
Symmetry: F-43m, No. 216
DFT formation energy, meV per atom: -389

[3]
This record from Alexandria describes a relaxed structure of LaInPt3Au. The functional is PBE-GGA.

a b c (Å): 7.620 5.822 6.721
angles (deg): 115.67 90.00 90.00
Sites, in units of the cell vectors:
Pt  0.250  0.144  0.289
Pt  0.500  0.261  0.000
Pt  0.000  0.261  0.000
Pt  0.500  0.739  0.000
Pt  0.750  0.856  0.711
Pt  0.000  0.739  0.000
Au  0.750  0.098  0.195
Au  0.250  0.902  0.805
La  0.250  0.659  0.318
La  0.750  0.341  0.682
In  0.750  0.635  0.269
In  0.250  0.365  0.731

Properties
Mass density, g cm⁻³: 12.8
Symmetry: Cmcm, No. 63
DFT formation energy, meV per atom: -522

[4]
This record from Alexandria describes a relaxed structure of NaSc3Ag. The functional is PBE-GGA.

a b c (Å): 5.159 5.159 5.159
angles (deg): 90.00 90.00 90.00
Last column: magnetic moment on the atom in μB.
Sites, in units of the cell vectors:
Sc  0.000  0.000  0.500  0.58
Sc  0.500  0.000  0.000  0.52
Sc  0.000  0.500  0.000  0.60
Ag  0.500  0.500  0.500  0.03
Na  0.000  0.000  0.000  0.04

Properties
Mass density, g cm⁻³: 3.2
Energy relative to the lowest polymorph listed for this composition, meV/atom: 661.4
Symmetry: Pm-3m, No. 221
DFT formation energy, meV per atom: 1089

[5]
This record from Alexandria describes a relaxed structure of SrScBr. The functional is PBE-GGA.

a b c (Å): 5.760 5.760 5.760
angles (deg): 60.00 60.00 60.00
Last column: magnetic moment on the atom in μB.
Sites, in units of the cell vectors:
Sr  0.750  0.750  0.750  0.12
Sc  0.500  0.500  0.500  1.07
Br  0.000  0.000  0.000  0.01

Properties
Mass density, g cm⁻³: 2.6
Energy relative to the lowest polymorph listed for this composition, meV/atom: 881.6
Formation energy from raw total energies, eV/atom: 0.28
Symmetry: F-43m, No. 216

[6]
This record from Alexandria describes a relaxed structure of BaAl2Te. The functional is PBE-GGA.

a b c (Å): 4.023 4.031 7.294
angles (deg): 90.00 90.00 90.00
Sites, in units of the cell vectors:
Al  0.000  0.000  0.928
Al  0.000  0.000  0.572
Te  0.500  0.500  0.750
Ba  0.500  0.500  0.250

Properties
Mass density, g cm⁻³: 4.5
Formation energy from raw total energies, eV/atom: -0.17
Symmetry: P4/mmm, No. 123

[7]
This record from Alexandria describes a relaxed structure of SrLa. The functional is PBE-GGA.

a b c (Å): 6.366 6.366 10.537
angles (deg): 90.00 90.00 120.00
Sites, in units of the cell vectors:
La  0.667  0.333  0.909
La  0.667  0.333  0.591
La  0.333  0.667  0.091
La  0.333  0.667  0.409
Sr  0.000  0.000  0.250
Sr  0.667  0.333  0.250
Sr  0.333  0.667  0.750
Sr  0.000  0.000  0.750

Properties
Mass density, g cm⁻³: 4.1
Energy relative to the lowest polymorph listed for this composition, meV/atom: 279.7
Symmetry: P6_3/mmc, No. 194
DFT formation energy, meV per atom: 341

[8]
This record from Alexandria describes a relaxed structure of Li2Nd2ScTl2. The functional is PBE-GGA.

a b c (Å): 4.782 4.782 9.454
angles (deg): 75.35 75.35 60.00
Sites, in units of the cell vectors:
Tl  0.730  0.730  0.810
Tl  0.270  0.270  0.190
Nd  0.875  0.875  0.374
Nd  0.125  0.125  0.626
Li  0.382  0.382  0.853
Li  0.618  0.618  0.147
Sc  0.000  0.000  0.000

Properties
Mass density, g cm⁻³: 7.0
Symmetry: R-3m, No. 166
DFT formation energy, meV per atom: -174

- mass density of number 7 (SrLa)?
  4.1 g cm⁻³

- The lowest mass density belongs to which entry?
  SrScBr

- Which of these has the lowest mass density?
  SrScBr